Entry 1:
This record from Alexandria via LeMat-Bulk describes crystalline SrCeCu2Ge2 at its relaxed geometry. The functional is PBE.

Lattice parameters (Å, degrees): 4.3275 4.3275 8.0612 90.00 90.00 120.00
Sites, in units of the cell vectors:
Ge  0.6667  0.3333  0.7154
Sr  0.0000  0.0000  0.0000
Ce  0.0000  0.0000  0.5000
Cu  0.6667  0.3333  0.2741
Ge  0.3333  0.6667  0.2846
Cu  0.3333  0.6667  0.7259

Values from the calculation:
The calculated volume is 21.79 Å³ per atom. As for the crystal system: trigonal. The value obtained for the total DFT energy (no corrections) is -4.734 eV per atom. The space group is P-3m1, No. 164. The density of states at the Fermi level comes out at 0.187 states/eV per atom.

=====

Entry 2:
This record from Alexandria via LeMat-Bulk describes crystalline NiPtS at its relaxed geometry. The functional is PBE.

Lattice parameters (Å, degrees): 3.6509 3.9617 6.6003 76.32 74.83 89.68
Sites, in units of the cell vectors:
Ni  0.2738  0.4624  0.8011
Ni  0.7030  0.9050  0.4296
S  0.5312  0.9721  0.7768
Pt  0.3146  0.3120  0.2012
S  0.1854  0.5982  0.4707
Pt  0.8800  0.8690  0.0297

Values from the calculation:
The calculated volume is 14.89 Å³ per atom. As for the crystal system: triclinic. The value obtained for the total DFT energy (no corrections) is -5.429 eV per atom. As for the excess energy over the best structure of this formula in the dataset: 63 meV per atom. The space group is P1, No. 1. The density of states at the Fermi level comes out at 0.732 states/eV per atom.

=====

Entry 3:
This record from Alexandria via LeMat-Bulk describes crystalline SiPAu2 at its relaxed geometry. The functional is PBE.

Lattice parameters (Å, degrees): 3.2491 3.2491 7.1683 90.00 90.00 90.00
Sites, in units of the cell vectors:
P  0.0000  0.0000  0.6729
Si  0.5000  0.5000  0.5779
Au  0.0000  0.0000  0.0038
Au  0.5000  0.5000  0.2454

Values from the calculation:
The calculated volume is 18.92 Å³ per atom. As for the crystal system: tetragonal. The value obtained for the total DFT energy (no corrections) is -4.237 eV per atom. As for the excess energy over the best structure of this formula in the dataset: 50 meV per atom. The space group is P4mm, No. 99. The density of states at the Fermi level comes out at 0.484 states/eV per atom.

=====

Entry 4:
This record from Alexandria via LeMat-Bulk describes crystalline MgMo2Se at its relaxed geometry. The functional is PBE.

Lattice parameters (Å, degrees): 3.7809 3.7809 10.2269 79.35 79.35 90.00
Sites, in units of the cell vectors:
Mo  0.6398  0.1250  0.2500
Mo  0.1102  0.6250  0.2500
Mg  0.2500  0.7500  0.5000
Mg  0.5000  0.5000  0.0000
Se  0.0000  0.0000  0.0000
Mo  0.3750  0.3602  0.7500
Mo  0.8750  0.8898  0.7500
Se  0.7500  0.2500  0.5000

Values from the calculation:
The calculated volume is 17.64 Å³ per atom. As for the crystal system: tetragonal. The value obtained for the total DFT energy (no corrections) is -6.345 eV per atom. As for the excess energy over the best structure of this formula in the dataset: 314 meV per atom. The space group is I-42d, No. 122. The density of states at the Fermi level comes out at 0.652 states/eV per atom.

=====

Entry 5:
This record from Alexandria via LeMat-Bulk describes crystalline Mg2Re2Hg at its relaxed geometry. The functional is PBE.

Lattice parameters (Å, degrees): 3.8238 3.8238 7.1432 74.48 74.48 90.00
Sites, in units of the cell vectors:
Mg  0.2500  0.7500  0.5000
Re  0.5890  0.5890  0.8220
Mg  0.7500  0.2500  0.5000
Re  0.4110  0.4110  0.1780
Hg  0.0000  0.0000  0.0000

Values from the calculation:
The calculated volume is 19.34 Å³ per atom. As for the crystal system: tetragonal. The value obtained for the total DFT energy (no corrections) is -4.561 eV per atom. As for the excess energy over the best structure of this formula in the dataset: 598 meV per atom. The space group is I4/mmm, No. 139. The density of states at the Fermi level comes out at 1.053 states/eV per atom.

=====

Entry 6:
This record from Alexandria via LeMat-Bulk describes crystalline Hf2AlV at its relaxed geometry. The functional is PBE.

Lattice parameters (Å, degrees): 3.3734 3.3734 6.5004 90.00 90.00 90.00
Sites, in units of the cell vectors:
Al  0.5000  0.5000  0.5000
Hf  0.0000  0.0000  0.7625
Hf  0.0000  0.0000  0.2375
V  0.5000  0.5000  0.0000

Values from the calculation:
The calculated volume is 18.49 Å³ per atom. As for the crystal system: tetragonal. The value obtained for the total DFT energy (no corrections) is -8.341 eV per atom. The space group is P4/mmm, No. 123. The density of states at the Fermi level comes out at 1.187 states/eV per atom.

=====

Entry 7:
This record from Alexandria via LeMat-Bulk describes crystalline RbAlW3 at its relaxed geometry. The functional is PBE.

Lattice parameters (Å, degrees): 4.8205 4.8205 4.8205 90.00 90.00 90.00
Sites, in units of the cell vectors:
W  0.0000  0.0000  0.5000
Rb  0.5000  0.5000  0.5000
Al  0.0000  0.0000  0.0000
W  0.0000  0.5000  0.0000
W  0.5000  0.0000  0.0000

Values from the calculation:
The calculated volume is 22.40 Å³ per atom. As for the crystal system: cubic. The value obtained for the total DFT energy (no corrections) is -6.216 eV per atom. As for the excess energy over the best structure of this formula in the dataset: 0 meV per atom. The space group is Pm-3m, No. 221. The density of states at the Fermi level comes out at 1.354 states/eV per atom.

=====

Entry 8:
This record from Alexandria via LeMat-Bulk describes crystalline MgSiBr2 at its relaxed geometry. The functional is PBE.

Lattice parameters (Å, degrees): 5.0591 5.0591 3.6616 90.00 90.00 96.25
Sites, in units of the cell vectors:
Si  0.0000  0.5000  0.5000
Mg  0.5000  0.0000  0.5000
Br  0.0000  0.0000  0.0000
Br  0.5000  0.5000  0.0000

Values from the calculation:
The calculated volume is 23.29 Å³ per atom. As for the crystal system: orthorhombic. The value obtained for the total DFT energy (no corrections) is -2.476 eV per atom. As for the excess energy over the best structure of this formula in the dataset: 469 meV per atom. The space group is Cmmm, No. 65. The density of states at the Fermi level comes out at 0.588 states/eV per atom.

=====

Entry 9:
This record from Alexandria via LeMat-Bulk describes crystalline Ta6Ge2C at its relaxed geometry. The functional is PBE.

Lattice parameters (Å, degrees): 5.4272 6.5326 8.2443 90.00 90.69 90.00
Sites, in units of the cell vectors:
Ge  0.0673  0.6133  0.2544
Ta  0.3478  0.8273  0.4545
Ta  0.8467  0.6918  0.5472
Ta  0.3467  0.8082  0.0472
Ta  0.3945  0.5087  0.7431
C  0.0000  0.0000  0.5000
C  0.5000  0.5000  0.0000
Ge  0.4327  0.1133  0.2456
Ta  0.6522  0.1727  0.5455
Ta  0.8478  0.6727  0.9545
Ge  0.9327  0.3867  0.7456
Ta  0.6533  0.1918  0.9528
Ta  0.1055  0.0087  0.7569
Ta  0.6055  0.4913  0.2569
Ta  0.8945  0.9913  0.2431
Ta  0.1522  0.3273  0.0455
Ta  0.1533  0.3082  0.4528
Ge  0.5673  0.8867  0.7544

Values from the calculation:
The calculated volume is 16.24 Å³ per atom. As for the crystal system: monoclinic. The value obtained for the total DFT energy (no corrections) is -10.252 eV per atom. The space group is P2_1/c, No. 14. The density of states at the Fermi level comes out at 0.358 states/eV per atom.

=====

Entry 10:
This record from Alexandria via LeMat-Bulk describes crystalline ZrBF3 at its relaxed geometry. The functional is PBE.

Lattice parameters (Å, degrees): 4.2679 4.2679 4.2679 90.00 90.00 90.00
Sites, in units of the cell vectors:
F  0.5000  0.0000  0.0000
B  0.5000  0.5000  0.5000
F  0.0000  0.5000  0.0000
F  0.0000  0.0000  0.5000
Zr  0.0000  0.0000  0.0000

Values from the calculation:
The calculated volume is 15.55 Å³ per atom. As for the crystal system: cubic. The value obtained for the total DFT energy (no corrections) is -5.625 eV per atom. As for the excess energy over the best structure of this formula in the dataset: 0 meV per atom. The space group is Pm-3m, No. 221. The density of states at the Fermi level comes out at 1.111 states/eV per atom.